Entry 1:
Here is a relaxed CaCu2Au10 crystal from the Alexandria database. Energies are from PBE.

Lattice parameters (Å, degrees): 5.394 7.130 7.328 82.00 68.41 67.78
Sites, in units of the cell vectors:
Ca: 0.000 0.000 0.000
Cu: 0.000 0.500 0.000
Cu: 0.500 0.500 0.000
Au: 0.343 0.641 0.673
Au: 0.657 0.359 0.327
Au: 0.984 0.359 0.673
Au: 0.016 0.641 0.327
Au: 0.000 0.000 0.500
Au: 0.500 0.000 0.500
Au: 0.286 0.222 0.206
Au: 0.714 0.778 0.794
Au: 0.508 0.778 0.206
Au: 0.492 0.222 0.794

Output
The magnetization is 0.0 Bohr magnetons per cell. The crystal system is orthorhombic. The volume comes out at 243 Å³/cell. The calculation puts the formation energy at -240 kJ/mol of formula units.

Entry 2:
Here is a relaxed Sr4BiAs2 crystal from the Alexandria database. Energies are from PBE.

Lattice parameters (Å, degrees): 8.447 8.447 8.447 109.09 109.09 110.24
Sites, in units of the cell vectors:
Sr: 0.739 0.993 0.602
Sr: 0.511 0.613 0.754
Sr: 0.391 0.136 0.398
Sr: 0.864 0.261 0.254
Sr: 0.007 0.609 0.746
Sr: 0.859 0.757 0.246
Sr: 0.243 0.489 0.102
Sr: 0.386 0.141 0.898
As: 0.625 0.501 0.376
As: 0.125 0.249 0.624
As: 0.751 0.375 0.876
As: 0.499 0.875 0.124
Bi: 0.250 0.750 0.500
Bi: 0.000 0.000 0.000

Output
The magnetization is 0.0 Bohr magnetons per cell. The crystal system is tetragonal. The volume comes out at 464 Å³/cell. The calculation puts the formation energy at -677 kJ/mol of formula units.

Entry 3:
Here is a relaxed Zr3ScSn crystal from the Alexandria database. Energies are from PBE.

Lattice parameters (Å, degrees): 5.633 6.069 8.337 69.87 109.10 119.14
Sites, in units of the cell vectors:
Zr: 0.971 0.759 0.956
Zr: 0.029 0.241 0.044
Zr: 0.385 0.781 0.755
Zr: 0.615 0.219 0.245
Zr: 0.109 0.735 0.348
Zr: 0.891 0.265 0.652
Sc: 0.737 0.747 0.552
Sc: 0.263 0.253 0.448
Sn: 0.529 0.719 0.159
Sn: 0.471 0.281 0.841

Output
The magnetization is 0.0 Bohr magnetons per cell. The crystal system is triclinic. The value obtained for the energy relative to the lowest polymorph listed for this composition is 0 meV per atom. The volume comes out at 229 Å³/cell. The calculation puts the formation energy at -123 kJ/mol of formula units.

Entry 4:
Here is a relaxed BaTaCd crystal from the Alexandria database. Energies are from PBE.

Lattice parameters (Å, degrees): 6.705 6.705 6.705 152.63 141.86 47.58
Sites, in units of the cell vectors:
Cd: 0.295 0.295 0.000
Ba: 0.997 0.997 0.000
Ta: 0.707 0.707 0.000

Output
The magnetization is 0.0 Bohr magnetons per cell. The crystal system is orthorhombic. The value obtained for the energy relative to the lowest polymorph listed for this composition is 105 meV per atom. The volume comes out at 85 Å³/cell. The calculation puts the formation energy at 218 kJ/mol of formula units.

Entry 5:
Here is a relaxed In2SnRhBr crystal from the Alexandria database. Energies are from PBE.

Lattice parameters (Å, degrees): 5.236 5.236 5.057 90.00 90.00 90.00
Sites, in units of the cell vectors:
Rh: 0.000 0.000 0.000
Sn: 0.000 0.000 0.500
Br: 0.500 0.500 0.500
In: 0.000 0.500 0.000
In: 0.500 0.000 0.000

Output
The magnetization is 0.0 Bohr magnetons per cell. The crystal system is tetragonal. The energy relative to the elements, uncorrected comes out at -0.4418 eV per atom. The volume comes out at 139 Å³/cell.

Entry 6:
Here is a relaxed CsKMgTl2 crystal from the Alexandria database. Energies are from PBE.

Lattice parameters (Å, degrees): 5.771 5.771 6.615 90.00 90.00 90.00
Sites, in units of the cell vectors:
Cs: 0.500 0.500 0.500
Tl: 0.000 0.500 0.000
Tl: 0.500 0.000 0.000
Mg: 0.000 0.000 0.000
K: 0.000 0.000 0.500

Output
The magnetization is 0.0 Bohr magnetons per cell. The crystal system is tetragonal. The volume comes out at 220 Å³/cell. The calculation puts the formation energy at 44 kJ/mol of formula units.

Entry 7:
Here is a relaxed ZrIr2Os crystal from the Alexandria database. Energies are from PBE.

Lattice parameters (Å, degrees): 3.910 2.847 6.415 63.62 90.00 90.00
Sites, in units of the cell vectors:
Ir: 0.000 0.980 0.020
Ir: 0.000 0.520 0.480
Os: 0.500 0.250 0.250
Zr: 0.500 0.750 0.750

Output
The magnetization is 0.0 Bohr magnetons per cell. The crystal system is orthorhombic. The value obtained for the energy relative to the lowest polymorph listed for this composition is 145 meV per atom. The volume comes out at 64 Å³/cell. The calculation puts the formation energy at -125 kJ/mol of formula units.

Entry 8:
Here is a relaxed Ca2Pr4Sm3 crystal from the Alexandria database. Energies are from PBE.

Lattice parameters (Å, degrees): 9.218 8.689 9.043 90.00 90.00 114.41
Sites, in units of the cell vectors:
Ca: 0.551 0.179 0.354
Ca: 0.949 0.821 0.854
Ca: 0.449 0.821 0.646
Ca: 0.051 0.179 0.146
Pr: 0.864 0.070 0.534
Pr: 0.636 0.930 0.034
Pr: 0.136 0.930 0.466
Pr: 0.364 0.070 0.966
Pr: 0.852 0.471 0.130
Pr: 0.648 0.529 0.630
Pr: 0.148 0.529 0.870
Pr: 0.352 0.471 0.370
Sm: 0.000 0.500 0.500
Sm: 0.500 0.500 0.000
Sm: 0.749 0.260 0.808
Sm: 0.751 0.740 0.308
Sm: 0.251 0.740 0.192
Sm: 0.249 0.260 0.692

Output
The magnetization is 0.0 Bohr magnetons per cell. The crystal system is monoclinic. The volume comes out at 660 Å³/cell. The calculation puts the formation energy at 158 kJ/mol of formula units.

Number 7 is which compound?
ZrIr2Os

Please write out number 6 again, unchanged.
Here is a relaxed CsKMgTl2 crystal from the Alexandria database. Energies are from PBE.

Lattice parameters (Å, degrees): 5.771 5.771 6.615 90.00 90.00 90.00
Sites, in units of the cell vectors:
Cs: 0.500 0.500 0.500
Tl: 0.000 0.500 0.000
Tl: 0.500 0.000 0.000
Mg: 0.000 0.000 0.000
K: 0.000 0.000 0.500

Output
The magnetization is 0.0 Bohr magnetons per cell. The crystal system is tetragonal. The volume comes out at 220 Å³/cell. The calculation puts the formation energy at 44 kJ/mol of formula units.

magnetization of number 2 (Sr4BiAs2)?
0.0 Bohr magnetons per cell